PBE K2Rb2Cl, optimized geometry; relative energy among the computed polymorphs = 12.3 meV/atom; formation energy (no corrections) = -614 meV per atom; space group = No. 127
1.0
8.776 0.000 0.000
0.000 8.776 0.000
0.000 0.000 8.852
K Rb Cl
4 4 2
Direct
0.297 0.797 0.000 K
0.797 0.703 0.000 K
0.203 0.297 0.000 K
0.703 0.203 0.000 K
0.320 0.180 0.500 Rb
0.180 0.680 0.500 Rb
0.680 0.820 0.500 Rb
0.820 0.320 0.500 Rb
0.000 0.000 0.000 Cl
0.500 0.500 0.000 Cl

---

PBE LaCeTm, optimized geometry; relative energy among the computed polymorphs = 6.4 meV/atom; calculated formation energy = 0.073 eV/atom; space group = No. 107
1.0
-1.260 3.026 1.403
1.293 -0.939 3.187
6.389 2.364 -3.891
La Ce Tm
1 1 1
Direct
0.326 0.326 0.652 La
0.665 0.665 0.330 Ce
0.009 0.009 0.019 Tm

---

PBE Ca2Tl2I, optimized geometry; relative energy among the computed polymorphs = 0.0 meV/atom; formation energy (no corrections) = -510 meV per atom; space group = No. 127
1.0
-6.087 -0.188 -6.384
2.176 -8.353 -1.829
-2.944 -1.391 2.849
Tl Ca I
4 4 2
Direct
0.375 0.125 0.500 Tl
0.125 0.625 0.500 Tl
0.625 0.875 0.500 Tl
0.875 0.375 0.500 Tl
0.326 0.826 0.000 Ca
0.826 0.674 0.000 Ca
0.674 0.174 0.000 Ca
0.174 0.326 0.000 Ca
0.500 0.500 0.000 I
0.000 0.000 0.000 I

---

PBE LuBeCu4, optimized geometry; calculated formation energy = -0.082 eV/atom; space group = No. 216
1.0
4.915 0.000 0.000
2.457 4.256 0.000
2.457 1.419 4.013
Be Lu Cu
1 1 4
Direct
0.000 0.000 0.000 Be
0.250 0.250 0.250 Lu
0.626 0.122 0.626 Cu
0.626 0.626 0.122 Cu
0.122 0.626 0.626 Cu
0.626 0.626 0.626 Cu

---

We obtain DFT total energy values of -1.81; -5.04; -2.57; -4.19 eV/atom for the records listed above, in that order.